1.
{
  "formula": "V2FeSbC",
  "functional": "PBE",
  "state": "optimized geometry",
  "formation_energy_uncorrected_ev_per_atom": 0.502,
  "total_energy_ev_per_cell": -37.537,
  "sg": "P4/mmm, No. 123",
  "dos_ef_per_ev_atom": 1.5100,
  "lattice_angstrom": [[3.884, 0.000, 0.000], [0.000, 4.613, 0.000], [0.000, 0.000, 3.884]],
  "species": ["Fe", "V", "V", "C", "Sb"],
  "frac_coords": [[0.500, 0.500, 0.500], [0.500, 0.000, 0.000], [0.000, 0.000, 0.500], [0.000, 0.000, 0.000], [0.000, 0.500, 0.000]]
}

2.
{
  "formula": "KTe2S2",
  "functional": "PBE",
  "state": "optimized geometry",
  "formation_energy_uncorrected_ev_per_atom": -0.226,
  "total_energy_ev_per_cell": -33.533,
  "sg": "P4/mbm, No. 127",
  "dos_ef_per_ev_atom": 0.7751,
  "relative_energy_mev_per_atom": 0,
  "lattice_angstrom": [[9.025, 0.000, 0.000], [0.000, 9.025, 0.000], [0.000, 0.000, 4.238]],
  "species": ["S", "S", "S", "S", "Te", "Te", "Te", "Te", "K", "K"],
  "frac_coords": [[0.198, 0.302, 0.000], [0.698, 0.198, 0.000], [0.302, 0.802, 0.000], [0.802, 0.698, 0.000], [0.696, 0.804, 0.500], [0.196, 0.696, 0.500], [0.804, 0.304, 0.500], [0.304, 0.196, 0.500], [0.000, 0.000, 0.000], [0.500, 0.500, 0.000]]
}

3.
{
  "formula": "GeTePt3",
  "functional": "PBE",
  "state": "optimized geometry",
  "formation_energy_uncorrected_ev_per_atom": 0.742,
  "total_energy_ev_per_cell": -22.169,
  "sg": "Pm-3m, No. 221",
  "dos_ef_per_ev_atom": 0.2153,
  "relative_energy_mev_per_atom": 323,
  "lattice_angstrom": [[4.963, 0.000, 0.000], [0.000, 4.963, 0.000], [0.000, 0.000, 4.963]],
  "species": ["Pt", "Pt", "Pt", "Ge", "Te"],
  "frac_coords": [[0.000, 0.500, 0.000], [0.000, 0.000, 0.500], [0.500, 0.000, 0.000], [0.500, 0.500, 0.500], [0.000, 0.000, 0.000]]
}

4.
{
  "formula": "Cs12Sb3I5",
  "functional": "PBE",
  "state": "optimized geometry",
  "formation_energy_uncorrected_ev_per_atom": -0.861,
  "total_energy_ev_per_cell": -190.296,
  "sg": "Ia-3d, No. 230",
  "dos_ef_per_ev_atom": 0.9232,
  "lattice_angstrom": [[19.456, 0.000, 0.000], [-6.485, 18.343, 0.000], [-6.485, -9.171, 15.885]],
  "species": ["Cs", "Cs", "Cs", "Cs", "Cs", "Cs", "Cs", "Cs", "Cs", "Cs", "Cs", "Cs", "Cs", "Cs", "Cs", "Cs", "Cs", "Cs", "Cs", "Cs", "Cs", "Cs", "Cs", "Cs", "Cs", "Cs", "Cs", "Cs", "Cs", "Cs", "Cs", "Cs", "Cs", "Cs", "Cs", "Cs", "Cs", "Cs", "Cs", "Cs", "Cs", "Cs", "Cs", "Cs", "Cs", "Cs", "Cs", "Cs", "Sb", "Sb", "Sb", "Sb", "Sb", "Sb", "Sb", "Sb", "Sb", "Sb", "Sb", "Sb", "I", "I", "I", "I", "I", "I", "I", "I", "I", "I", "I", "I", "I", "I", "I", "I", "I", "I", "I", "I"],
  "frac_coords": [[0.857, 0.272, 0.441], [0.559, 0.332, 0.916], [0.416, 0.357, 0.585], [0.357, 0.416, 0.085], [0.559, 0.228, 0.143], [0.643, 0.584, 0.915], [0.857, 0.585, 0.916], [0.059, 0.416, 0.832], [0.585, 0.857, 0.416], [0.085, 0.916, 0.357], [0.168, 0.085, 0.728], [0.728, 0.143, 0.059], [0.168, 0.084, 0.941], [0.941, 0.357, 0.272], [0.728, 0.585, 0.168], [0.415, 0.272, 0.332], [0.668, 0.228, 0.585], [0.584, 0.643, 0.415], [0.415, 0.143, 0.584], [0.357, 0.941, 0.772], [0.143, 0.415, 0.084], [0.915, 0.832, 0.772], [0.059, 0.643, 0.728], [0.272, 0.857, 0.941], [0.272, 0.415, 0.832], [0.332, 0.559, 0.416], [0.084, 0.168, 0.441], [0.585, 0.728, 0.668], [0.332, 0.772, 0.415], [0.772, 0.332, 0.915], [0.441, 0.772, 0.857], [0.416, 0.059, 0.332], [0.228, 0.668, 0.085], [0.668, 0.441, 0.584], [0.915, 0.084, 0.643], [0.916, 0.832, 0.559], [0.441, 0.668, 0.084], [0.832, 0.916, 0.059], [0.143, 0.728, 0.559], [0.584, 0.941, 0.668], [0.916, 0.085, 0.857], [0.941, 0.584, 0.168], [0.832, 0.915, 0.272], [0.084, 0.915, 0.143], [0.228, 0.559, 0.643], [0.643, 0.059, 0.228], [0.772, 0.441, 0.357], [0.085, 0.168, 0.228], [0.875, 0.125, 0.250], [0.250, 0.625, 0.875], [0.750, 0.875, 0.625], [0.125, 0.875, 0.750], [0.375, 0.750, 0.625], [0.875, 0.750, 0.125], [0.750, 0.375, 0.125], [0.625, 0.375, 0.750], [0.250, 0.125, 0.375], [0.625, 0.250, 0.375], [0.375, 0.625, 0.250], [0.125, 0.250, 0.875], [0.250, 0.875, 0.125], [0.000, 0.500, 0.500], [0.000, 0.000, 0.500], [0.875, 0.250, 0.625], [0.375, 0.250, 0.125], [0.125, 0.375, 0.250], [0.125, 0.750, 0.375], [0.500, 0.500, 0.000], [0.875, 0.625, 0.750], [0.750, 0.125, 0.875], [0.625, 0.750, 0.875], [0.000, 0.500, 0.000], [0.375, 0.125, 0.750], [0.500, 0.000, 0.500], [0.000, 0.000, 0.000], [0.250, 0.375, 0.625], [0.750, 0.625, 0.375], [0.500, 0.000, 0.000], [0.500, 0.500, 0.500], [0.625, 0.875, 0.250]]
}

5.
{
  "formula": "FeRe3",
  "functional": "PBE",
  "state": "optimized geometry",
  "total_energy_ev_per_cell": -90.374,
  "sg": "Pm-3n, No. 223",
  "dos_ef_per_ev_atom": 1.0288,
  "lattice_angstrom": [[4.844, 0.000, 0.000], [0.000, 4.844, 0.000], [0.000, 0.000, 4.844]],
  "species": ["Re", "Re", "Re", "Re", "Re", "Re", "Fe", "Fe"],
  "frac_coords": [[0.000, 0.750, 0.500], [0.000, 0.250, 0.500], [0.500, 0.000, 0.750], [0.750, 0.500, 0.000], [0.500, 0.000, 0.250], [0.250, 0.500, 0.000], [0.500, 0.500, 0.500], [0.000, 0.000, 0.000]]
}

6.
{
  "formula": "Re2Rh",
  "functional": "PBE",
  "state": "optimized geometry",
  "total_energy_ev_per_cell": -65.085,
  "sg": "C2/m, No. 12",
  "dos_ef_per_ev_atom": 0.8457,
  "relative_energy_mev_per_atom": 36,
  "lattice_angstrom": [[-1.892, 3.640, 5.105], [-2.200, 0.851, -1.423], [-4.021, -2.664, 1.956]],
  "species": ["Rh", "Rh", "Re", "Re", "Re", "Re"],
  "frac_coords": [[0.055, 0.280, 0.439], [0.333, 0.664, 0.672], [0.719, 0.611, 0.778], [0.000, 0.003, 0.994], [0.670, 0.333, 0.333], [0.389, 0.941, 0.118]]
}

7.
{
  "formula": "LaIn3Te",
  "functional": "PBE",
  "state": "optimized geometry",
  "formation_energy_uncorrected_ev_per_atom": 0.632,
  "total_energy_ev_per_cell": -13.127,
  "sg": "Pm-3m, No. 221",
  "dos_ef_per_ev_atom": 0.7029,
  "relative_energy_mev_per_atom": 300,
  "lattice_angstrom": [[6.131, 0.000, 0.000], [0.000, 6.131, 0.000], [0.000, 0.000, 6.131]],
  "species": ["In", "In", "In", "La", "Te"],
  "frac_coords": [[0.000, 0.000, 0.500], [0.000, 0.500, 0.000], [0.500, 0.000, 0.000], [0.000, 0.000, 0.000], [0.500, 0.500, 0.500]]
}

8.
{
  "formula": "Ac6Pt2I3Cl",
  "functional": "PBE",
  "state": "optimized geometry",
  "formation_energy_uncorrected_ev_per_atom": -1.191,
  "total_energy_ev_per_cell": -57.525,
  "sg": "C2/m, No. 12",
  "dos_ef_per_ev_atom": 0.7376,
  "lattice_angstrom": [[7.900, 0.003, 0.004], [-3.945, 6.844, 0.004], [-1.316, -2.278, 8.435]],
  "species": ["Ac", "Ac", "Ac", "Ac", "Ac", "Ac", "Pt", "Pt", "I", "I", "I", "Cl"],
  "frac_coords": [[0.427, 0.065, 0.193], [0.573, 0.935, 0.807], [0.935, 0.573, 0.807], [0.297, 0.297, 0.809], [0.065, 0.427, 0.193], [0.703, 0.703, 0.191], [0.333, 0.667, 0.000], [0.667, 0.333, 0.000], [0.500, 0.500, 0.500], [0.840, 0.160, 0.500], [0.160, 0.840, 0.500], [0.000, 0.000, 0.000]]
}

9.
{
  "formula": "Ta4Tc5",
  "functional": "PBE",
  "state": "optimized geometry",
  "total_energy_ev_per_cell": -198.434,
  "sg": "P6_3/mcm, No. 193",
  "dos_ef_per_ev_atom": 1.2500,
  "relative_energy_mev_per_atom": 154,
  "lattice_angstrom": [[-3.812, 7.041, -0.516], [-7.216, 0.913, 3.387], [2.304, 1.575, 4.483]],
  "species": ["Tc", "Tc", "Tc", "Tc", "Tc", "Tc", "Tc", "Tc", "Tc", "Tc", "Ta", "Ta", "Ta", "Ta", "Ta", "Ta", "Ta", "Ta"],
  "frac_coords": [[0.667, 0.667, 0.500], [0.667, 0.667, 0.000], [0.699, 0.301, 0.750], [0.333, 0.333, 0.500], [0.000, 0.699, 0.750], [0.699, 0.000, 0.250], [0.000, 0.301, 0.250], [0.301, 0.000, 0.750], [0.333, 0.333, 0.000], [0.301, 0.699, 0.250], [0.000, 0.000, 0.000], [0.000, 0.626, 0.250], [0.626, 0.374, 0.250], [0.000, 0.000, 0.500], [0.000, 0.374, 0.750], [0.374, 0.000, 0.250], [0.626, 0.000, 0.750], [0.374, 0.626, 0.750]]
}

10.
{
  "formula": "Cs5AlSe4",
  "functional": "PBE",
  "state": "optimized geometry",
  "formation_energy_uncorrected_ev_per_atom": -1.104,
  "total_energy_ev_per_cell": -65.981,
  "sg": "Pmmn, No. 59",
  "dos_ef_per_ev_atom": 0.0000,
  "lattice_angstrom": [[9.996, 0.000, 0.000], [0.000, 8.558, 0.000], [0.000, 0.000, 10.850]],
  "species": ["Se", "Se", "Se", "Se", "Se", "Se", "Se", "Se", "Cs", "Cs", "Cs", "Cs", "Cs", "Cs", "Cs", "Cs", "Cs", "Cs", "Al", "Al"],
  "frac_coords": [[0.000, 0.045, 0.187], [0.703, 0.628, 0.500], [0.797, 0.372, 0.000], [0.500, 0.955, 0.687], [0.000, 0.045, 0.813], [0.203, 0.372, 0.000], [0.297, 0.628, 0.500], [0.500, 0.955, 0.313], [0.238, 0.731, 0.810], [0.738, 0.269, 0.310], [0.762, 0.731, 0.810], [0.262, 0.269, 0.690], [0.262, 0.269, 0.310], [0.238, 0.731, 0.190], [0.000, 0.876, 0.500], [0.762, 0.731, 0.190], [0.738, 0.269, 0.690], [0.500, 0.124, 0.000], [0.500, 0.791, 0.500], [0.000, 0.209, 0.000]]
}

11.
{
  "formula": "SrInBi3",
  "functional": "PBE",
  "state": "optimized geometry",
  "total_energy_ev_per_cell": -15.431,
  "sg": "Pm-3m, No. 221",
  "dos_ef_per_ev_atom": 1.0904,
  "relative_energy_mev_per_atom": 366,
  "lattice_angstrom": [[-4.477, -3.696, 0.311], [0.744, -1.372, -5.601], [3.633, -4.273, 1.529]],
  "species": ["Bi", "Bi", "Bi", "In", "Sr"],
  "frac_coords": [[0.000, 0.500, 0.000], [0.000, 0.000, 0.500], [0.500, 0.000, 0.000], [0.000, 0.000, 0.000], [0.500, 0.500, 0.500]]
}

12.
{
  "formula": "Yb3InC",
  "functional": "PBE",
  "state": "optimized geometry",
  "total_energy_ev_per_cell": -17.567,
  "sg": "Pm-3m, No. 221",
  "dos_ef_per_ev_atom": 5.2627,
  "lattice_angstrom": [[-1.718, -1.197, 4.507], [3.734, -3.231, 0.565], [2.794, 3.582, 2.016]],
  "species": ["Yb", "Yb", "Yb", "C", "In"],
  "frac_coords": [[0.500, 0.500, 0.000], [0.000, 0.500, 0.500], [0.500, 0.000, 0.500], [0.500, 0.500, 0.500], [0.000, 0.000, 0.000]]
}

13.
{
  "formula": "GdDyCu2",
  "functional": "PBE",
  "state": "optimized geometry",
  "total_energy_ev_per_cell": -27.811,
  "sg": "P4/mmm, No. 123",
  "dos_ef_per_ev_atom": 0.6353,
  "relative_energy_mev_per_atom": 0,
  "lattice_angstrom": [[-3.347, 0.844, -0.362], [0.084, -1.663, -4.655], [-1.305, -4.498, 1.583]],
  "species": ["Cu", "Cu", "Gd", "Dy"],
  "frac_coords": [[0.000, 0.000, 0.500], [0.000, 0.500, 0.000], [0.500, 0.000, 0.000], [0.500, 0.500, 0.500]]
}

14.
{
  "formula": "Pr4Sm3Ho8",
  "functional": "PBE",
  "state": "optimized geometry",
  "total_energy_ev_per_cell": -64.566,
  "sg": "C2/m, No. 12",
  "dos_ef_per_ev_atom": 2.0294,
  "relative_energy_mev_per_atom": 234,
  "lattice_angstrom": [[6.795, -0.109, -0.157], [-3.245, 8.681, 1.182], [-3.245, -1.905, 8.552]],
  "species": ["Pr", "Pr", "Pr", "Pr", "Ho", "Ho", "Ho", "Ho", "Ho", "Ho", "Ho", "Ho", "Sm", "Sm", "Sm"],
  "frac_coords": [[0.500, 0.000, 0.000], [0.000, 0.500, 0.000], [0.000, 0.000, 0.000], [0.000, 0.000, 0.500], [0.500, 0.743, 0.257], [0.007, 0.270, 0.270], [0.500, 0.257, 0.743], [0.000, 0.639, 0.361], [0.528, 0.269, 0.269], [0.000, 0.361, 0.639], [0.993, 0.730, 0.730], [0.472, 0.731, 0.731], [0.500, 0.000, 0.500], [0.500, 0.500, 0.000], [0.500, 0.500, 0.500]]
}

15.
{
  "formula": "Pm2PuSn3",
  "functional": "PBE",
  "state": "optimized geometry",
  "total_energy_ev_per_cell": -78.348,
  "sg": "Cmcm, No. 63",
  "dos_ef_per_ev_atom": 2.1187,
  "lattice_angstrom": [[10.152, 0.769, 1.325], [-1.503, 7.424, -2.037], [-1.503, -5.449, 5.437]],
  "species": ["Sn", "Sn", "Sn", "Sn", "Sn", "Sn", "Pm", "Pm", "Pm", "Pm", "Pu", "Pu"],
  "frac_coords": [[0.001, 0.168, 0.333], [0.499, 0.667, 0.832], [0.999, 0.832, 0.667], [0.000, 0.500, 0.000], [0.501, 0.333, 0.168], [0.500, 0.000, 0.500], [0.250, 0.920, 0.080], [0.250, 0.248, 0.752], [0.750, 0.080, 0.920], [0.750, 0.752, 0.248], [0.750, 0.415, 0.585], [0.250, 0.585, 0.415]]
}

16.
{
  "formula": "Pr12YAl3",
  "functional": "PBE",
  "state": "optimized geometry",
  "total_energy_ev_per_cell": -76.774,
  "sg": "P4/mmm, No. 123",
  "dos_ef_per_ev_atom": 1.3674,
  "lattice_angstrom": [[4.977, 0.000, 0.000], [0.000, 4.977, 0.000], [0.000, 0.000, 20.280]],
  "species": ["Pr", "Pr", "Pr", "Pr", "Pr", "Pr", "Pr", "Pr", "Pr", "Pr", "Pr", "Pr", "Y", "Al", "Al", "Al"],
  "frac_coords": [[0.000, 0.500, 0.135], [0.500, 0.500, 0.258], [0.500, 0.000, 0.378], [0.500, 0.000, 0.865], [0.000, 0.500, 0.378], [0.500, 0.000, 0.622], [0.500, 0.500, 0.742], [0.500, 0.500, 0.000], [0.000, 0.500, 0.622], [0.000, 0.500, 0.865], [0.500, 0.000, 0.135], [0.500, 0.500, 0.500], [0.000, 0.000, 0.000], [0.000, 0.000, 0.742], [0.000, 0.000, 0.258], [0.000, 0.000, 0.500]]
}

17.
{
  "formula": "RbZrSnBi2",
  "functional": "PBE",
  "state": "optimized geometry",
  "total_energy_ev_per_cell": -13.469,
  "sg": "P4/mmm, No. 123",
  "dos_ef_per_ev_atom": 1.4789,
  "lattice_angstrom": [[-4.488, -3.508, 1.290], [-0.040, -1.922, -5.366], [3.738, -4.234, 1.489]],
  "species": ["Bi", "Bi", "Sn", "Rb", "Zr"],
  "frac_coords": [[0.500, 0.000, 0.000], [0.000, 0.000, 0.500], [0.000, 0.500, 0.000], [0.000, 0.000, 0.000], [0.500, 0.500, 0.500]]
}

18.
{
  "formula": "CsPb2F7",
  "functional": "PBE",
  "state": "optimized geometry",
  "formation_energy_uncorrected_ev_per_atom": -2.275,
  "total_energy_ev_per_cell": -44.118,
  "sg": "Cmmm, No. 65",
  "dos_ef_per_ev_atom": 0.3171,
  "lattice_angstrom": [[-3.069, 2.571, -2.132], [2.834, -1.729, -6.166], [-5.126, -4.108, 2.427]],
  "species": ["F", "F", "F", "F", "F", "F", "F", "Cs", "Pb", "Pb"],
  "frac_coords": [[0.000, 0.698, 0.302], [0.500, 0.500, 0.500], [0.500, 0.335, 0.038], [0.500, 0.038, 0.335], [0.500, 0.962, 0.665], [0.500, 0.665, 0.962], [0.000, 0.302, 0.698], [0.000, 0.000, 0.000], [0.500, 0.691, 0.309], [0.500, 0.309, 0.691]]
}

19.
{
  "formula": "RbCd3Pb",
  "functional": "PBE",
  "state": "optimized geometry",
  "total_energy_ev_per_cell": -6.741,
  "sg": "Pm-3m, No. 221",
  "dos_ef_per_ev_atom": 0.6264,
  "relative_energy_mev_per_atom": 200,
  "lattice_angstrom": [[-5.251, 2.468, 1.509], [-2.759, -5.212, -1.077], [0.869, -1.638, 5.701]],
  "species": ["Rb", "Pb", "Cd", "Cd", "Cd"],
  "frac_coords": [[0.500, 0.500, 0.500], [0.000, 0.000, 0.000], [0.000, 0.500, 0.000], [0.500, 0.000, 0.000], [0.000, 0.000, 0.500]]
}

20.
{
  "formula": "LiTlS2N",
  "functional": "PBE",
  "state": "optimized geometry",
  "formation_energy_uncorrected_ev_per_atom": 0.902,
  "total_energy_ev_per_cell": -16.349,
  "sg": "P4/mmm, No. 123",
  "dos_ef_per_ev_atom": 1.0551,
  "relative_energy_mev_per_atom": 20,
  "lattice_angstrom": [[4.768, 0.000, 0.000], [0.000, 4.768, 0.000], [0.000, 0.000, 3.726]],
  "species": ["Tl", "S", "S", "N", "Li"],
  "frac_coords": [[0.500, 0.500, 0.500], [0.000, 0.500, 0.000], [0.500, 0.000, 0.000], [0.000, 0.000, 0.500], [0.000, 0.000, 0.000]]
}